1.
Computed, not measured: crystalline ZrBRh2S at its relaxed geometry at the GGA-PBE level of DFT.

The density of states at the Fermi level comes out at 0.50 states/eV per atom. The value obtained for the uncorrected formation energy is -0.17 eV per atom. Its total moment is 0.0 μB/cell. The mass density is 7.5 g cm⁻³. The total DFT energy (no corrections) comes out at -6.98 eV per atom.

It has space group P4/mmm (No. 123), with a = 3.994 Å, b = 3.994 Å, c = 4.743 Å, α = 90.00°, β = 90.00° and γ = 90.00°. The inequivalent atoms are Zr at (0.000, 0.000, 0.000), B at (0.500, 0.500, 0.500), Rh at (0.000, 0.500, 0.500) and S at (0.500, 0.500, 0.000).

2.
Computed, not measured: crystalline BSb2Rh at its relaxed geometry at the GGA-PBE level of DFT.

The density of states at the Fermi level comes out at 0.31 states/eV per atom. The value obtained for the uncorrected formation energy is 0.27 eV per atom. Its total moment is 0.0 μB/cell. The mass density is 6.9 g cm⁻³. The total DFT energy (no corrections) comes out at -5.30 eV per atom.

It has space group I-42d (No. 122), with a = 5.817 Å, b = 5.817 Å, c = 10.154 Å, α = 90.00°, β = 90.00° and γ = 90.00°. The inequivalent atoms are B at (0.000, 0.000, 0.000), Sb at (0.209, 0.250, 0.125) and Rh at (0.000, 0.000, 0.500).

3.
Computed, not measured: crystalline B2SbRh8 at its relaxed geometry at the GGA-PBE level of DFT.

The density of states at the Fermi level comes out at 1.20 states/eV per atom. The value obtained for the uncorrected formation energy is -0.14 eV per atom. Its total moment is 0.0 μB/cell. The mass density is 10.7 g cm⁻³. The total DFT energy (no corrections) comes out at -7.08 eV per atom.

It has space group C2/m (No. 12), with a = 14.077 Å, b = 4.017 Å, c = 5.764 Å, α = 90.00°, β = 113.40° and γ = 90.00°. The inequivalent atoms are B at (0.169, 0.000, 0.172), Sb at (0.000, 0.500, 0.500), Rh at (0.044, 0.000, 0.821), Rh at (0.103, 0.500, 0.197), Rh at (0.190, 0.000, 0.550) and Rh at (0.190, 0.500, 0.865).

4.
Computed, not measured: crystalline B2SbRh2 at its relaxed geometry at the GGA-PBE level of DFT.

The density of states at the Fermi level comes out at 0.27 states/eV per atom. The value obtained for the uncorrected formation energy is 0.32 eV per atom. Its total moment is 0.0 μB/cell. The mass density is 8.5 g cm⁻³. The total DFT energy (no corrections) comes out at -6.12 eV per atom.

It has space group P4/mbm (No. 127), with a = 6.911 Å, b = 6.911 Å, c = 2.857 Å, α = 90.00°, β = 90.00° and γ = 90.00°. The inequivalent atoms are B at (0.098, 0.402, 0.000), Sb at (0.000, 0.000, 0.500) and Rh at (0.143, 0.643, 0.500).

5.
Computed, not measured: crystalline B2SbRh2 at its relaxed geometry at the GGA-PBE level of DFT.

The density of states at the Fermi level comes out at 0.60 states/eV per atom. The value obtained for the uncorrected formation energy is -0.13 eV per atom. Its total moment is 0.0 μB/cell. The mass density is 8.7 g cm⁻³. The total DFT energy (no corrections) comes out at -6.57 eV per atom.

It has space group I4/mmm (No. 139), with a = 3.023 Å, b = 3.023 Å, c = 14.665 Å, α = 90.00°, β = 90.00° and γ = 90.00°. The inequivalent atoms are B at (0.000, 0.500, 0.250), Sb at (0.000, 0.000, 0.000) and Rh at (0.000, 0.000, 0.353).

6.
Computed, not measured: crystalline B2SbRh at its relaxed geometry at the GGA-PBE level of DFT.

The density of states at the Fermi level comes out at 0.04 states/eV per atom. The value obtained for the uncorrected formation energy is 0.42 eV per atom. Its total moment is 0.0 μB/cell. The mass density is 6.5 g cm⁻³. The total DFT energy (no corrections) comes out at -5.78 eV per atom.

It has space group I-42d (No. 122), with a = 4.982 Å, b = 4.982 Å, c = 10.167 Å, α = 90.00°, β = 90.00° and γ = 90.00°. The inequivalent atoms are B at (0.205, 0.250, 0.125), Sb at (0.000, 0.000, 0.500) and Rh at (0.000, 0.000, 0.000).

7.
Computed, not measured: crystalline B5SbRh12 at its relaxed geometry at the GGA-PBE level of DFT.

The density of states at the Fermi level comes out at 1.10 states/eV per atom. The value obtained for the uncorrected formation energy is -0.25 eV per atom. Its total moment is 0.0 μB/cell. The mass density is 10.4 g cm⁻³. The total DFT energy (no corrections) comes out at -7.24 eV per atom.

It has space group Immm (No. 71), with a = 7.442 Å, b = 7.605 Å, c = 7.923 Å, α = 90.00°, β = 90.00° and γ = 90.00°. The inequivalent atoms are B at (0.000, 0.000, 0.000), B at (0.000, 0.377, 0.000), B at (0.000, 0.500, 0.385), Sb at (0.000, 0.000, 0.500), Rh at (0.000, 0.184, 0.194), Rh at (0.188, 0.311, 0.500) and Rh at (0.188, 0.500, 0.183).

8.
Computed, not measured: crystalline BSbRh at its relaxed geometry at the GGA-PBE level of DFT.

The density of states at the Fermi level comes out at 0.27 states/eV per atom. The value obtained for the uncorrected formation energy is 0.11 eV per atom. Its total moment is 0.0 μB/cell. The mass density is 7.5 g cm⁻³. The total DFT energy (no corrections) comes out at -5.94 eV per atom.

It has space group P2_1/c (No. 14), with a = 6.103 Å, b = 4.926 Å, c = 6.966 Å, α = 90.00°, β = 91.56° and γ = 90.00°. The inequivalent atoms are B at (0.073, 0.187, 0.322), Sb at (0.399, 0.707, 0.385) and Rh at (0.180, 0.065, 0.609).